A plane-wave DFT calculation with PBE-GGA was carried out for crystalline SrCd2Ag2 at its relaxed geometry.

Geometry as POSCAR:
```
SrCd2Ag2
1.0
-5.6035 -0.5363 6.2189
-1.0479 -8.1577 -1.6477
2.4663 -0.7525 2.1573
Sr Ag Cd
2 4 4
direct
0.0000 0.0000 0.0000 Sr
0.5000 0.5000 0.0000 Sr
0.3720 0.8720 0.0000 Ag
0.8720 0.6280 0.0000 Ag
0.6280 0.1280 0.0000 Ag
0.1280 0.3720 0.0000 Ag
0.1644 0.6644 0.5000 Cd
0.6644 0.8356 0.5000 Cd
0.8356 0.3356 0.5000 Cd
0.3356 0.1644 0.5000 Cd
```

Its polymorph energy (0 for the lowest one) is 0.113 eV per atom. Its formation energy is -117 meV/atom. The value obtained for the calculated volume is 237 Å³/cell. As for the density of states at the Fermi level: 3.92 states/eV per cell.

=====

A plane-wave DFT calculation with PBE-GGA was carried out for crystalline Sr8Cd2Ag at its relaxed geometry.

Geometry as POSCAR:
```
Sr8Cd2Ag
1.0
-1.9964 3.3163 4.3199
0.3022 -6.2323 4.9241
10.2387 3.0238 -1.4839
Sr Cd Ag
8 2 1
direct
0.4061 0.5563 0.8122 Sr
0.6609 0.9687 0.3218 Sr
0.7915 0.6851 0.5830 Sr
0.9709 0.2104 0.9418 Sr
0.2085 0.3149 0.4170 Sr
0.3391 0.0313 0.6782 Sr
0.5939 0.4437 0.1878 Sr
0.0291 0.7896 0.0582 Sr
0.8155 0.2792 0.6309 Cd
0.1845 0.7208 0.3691 Cd
0.5000 0.0000 0.0000 Ag
```

Its polymorph energy (0 for the lowest one) is 0.000 eV per atom. Its formation energy is -147 meV/atom. The value obtained for the calculated volume is 460 Å³/cell. As for the density of states at the Fermi level: 13.76 states/eV per cell.

=====

A plane-wave DFT calculation with PBE-GGA was carried out for crystalline Sr2CdAg10 at its relaxed geometry.

Geometry as POSCAR:
```
Sr2CdAg10
1.0
-1.0833 -2.7772 4.7399
-6.3824 -3.4750 -3.4944
8.4058 -10.9304 -4.4833
Sr Cd Ag
4 2 20
direct
0.5000 0.2784 0.8942 Sr
0.5000 0.7216 0.1058 Sr
0.5000 0.7784 0.6058 Sr
0.5000 0.2216 0.3942 Sr
0.0000 0.5000 0.5000 Cd
0.0000 0.0000 0.0000 Cd
0.0000 0.1675 0.5078 Ag
0.0000 0.8325 0.4922 Ag
0.0000 0.6675 0.9922 Ag
0.0000 0.3325 0.0078 Ag
0.0000 0.9865 0.6673 Ag
0.0000 0.0135 0.3327 Ag
0.2516 0.1786 0.1665 Ag
0.2516 0.8214 0.8335 Ag
0.7484 0.6786 0.3335 Ag
0.7484 0.3214 0.6665 Ag
0.7484 0.8214 0.8335 Ag
0.7484 0.1786 0.1665 Ag
0.2516 0.3214 0.6665 Ag
0.2516 0.6786 0.3335 Ag
0.0000 0.8539 0.1729 Ag
0.0000 0.1461 0.8271 Ag
0.0000 0.3539 0.3271 Ag
0.0000 0.6461 0.6729 Ag
0.0000 0.5135 0.1673 Ag
0.0000 0.4865 0.8327 Ag
```

Its formation energy is -7 meV/atom. The value obtained for the calculated volume is 655 Å³/cell. As for the density of states at the Fermi level: 8.38 states/eV per cell.

=====

A plane-wave DFT calculation with PBE-GGA was carried out for crystalline SrCd3Ag3 at its relaxed geometry.

Geometry as POSCAR:
```
SrCd3Ag3
1.0
-3.2087 2.0001 -3.0397
-0.0626 -7.3299 -4.7570
-5.6506 0.9728 6.6048
Sr Cd Ag
2 6 6
direct
0.7500 0.3336 0.6669 Sr
0.2500 0.6664 0.3331 Sr
0.7500 0.7758 0.0121 Cd
0.7500 0.2364 0.2246 Cd
0.7500 0.9881 0.7637 Cd
0.2500 0.2242 0.9879 Cd
0.2500 0.7636 0.7754 Cd
0.2500 0.0119 0.2363 Cd
0.7500 0.9375 0.3886 Ag
0.7500 0.4508 0.0624 Ag
0.7500 0.6115 0.5488 Ag
0.2500 0.0625 0.6114 Ag
0.2500 0.5492 0.9376 Ag
0.2500 0.3885 0.4512 Ag
```

Its polymorph energy (0 for the lowest one) is 0.000 eV per atom. Its formation energy is -126 meV/atom. The value obtained for the calculated volume is 321 Å³/cell. As for the density of states at the Fermi level: 4.42 states/eV per cell.

=====

A plane-wave DFT calculation with PBE-GGA was carried out for crystalline SrCd2Ag3 at its relaxed geometry.

Geometry as POSCAR:
```
SrCd2Ag3
1.0
4.6632 0.0000 0.0000
0.0000 5.1369 -2.9575
0.0000 -0.0065 5.9276
Sr Cd Ag
1 2 3
direct
0.0000 0.0012 0.0000 Sr
0.0000 0.3345 0.6666 Cd
0.0000 0.6680 0.3334 Cd
0.5000 0.0012 0.5000 Ag
0.5000 0.5013 0.5000 Ag
0.5000 0.5013 0.0000 Ag
```

Its polymorph energy (0 for the lowest one) is 0.000 eV per atom. Its formation energy is -227 meV/atom. The value obtained for the calculated volume is 142 Å³/cell. As for the density of states at the Fermi level: 1.52 states/eV per cell.

=====

A plane-wave DFT calculation with PBE-GGA was carried out for crystalline SrCd2Ag at its relaxed geometry.

Geometry as POSCAR:
```
SrCd2Ag
1.0
5.8849 -0.0262 0.0066
2.0262 5.5252 -0.0066
-3.4695 -3.4488 3.2713
Ag Cd Sr
1 2 1
direct
0.2500 0.7500 0.5000 Ag
0.0302 0.0302 0.0000 Cd
0.4698 0.4698 0.0000 Cd
0.7500 0.2500 0.5000 Sr
```

Its formation energy is -174 meV/atom. The value obtained for the calculated volume is 106 Å³/cell. As for the density of states at the Fermi level: 1.89 states/eV per cell.

=====

A plane-wave DFT calculation with PBE-GGA was carried out for crystalline Sr2Cd2Ag at its relaxed geometry.

Geometry as POSCAR:
```
Sr2Cd2Ag
1.0
7.8812 0.0000 0.0000
0.0000 7.8812 0.0000
0.0000 0.0000 5.0759
Sr Ag Cd
4 2 4
direct
0.1763 0.6763 0.5000 Sr
0.6763 0.8237 0.5000 Sr
0.8237 0.3237 0.5000 Sr
0.3237 0.1763 0.5000 Sr
0.0000 0.0000 0.0000 Ag
0.5000 0.5000 0.0000 Ag
0.3689 0.8689 0.0000 Cd
0.8689 0.6311 0.0000 Cd
0.6311 0.1311 0.0000 Cd
0.1311 0.3689 0.0000 Cd
```

Its polymorph energy (0 for the lowest one) is 0.101 eV per atom. Its formation energy is -214 meV/atom. The value obtained for the calculated volume is 315 Å³/cell. As for the density of states at the Fermi level: 8.32 states/eV per cell.

=====

A plane-wave DFT calculation with PBE-GGA was carried out for crystalline SrCd2Ag10 at its relaxed geometry.

Geometry as POSCAR:
```
SrCd2Ag10
1.0
5.6198 0.0000 0.0000
2.8099 7.0160 0.0000
2.8099 0.0000 6.7605
Sr Cd Ag
1 2 10
direct
0.0000 0.0000 0.0000 Sr
0.0000 0.5000 0.0000 Cd
0.5000 0.5000 0.0000 Cd
0.3540 0.6517 0.6402 Ag
0.6460 0.3483 0.3598 Ag
0.0058 0.3483 0.6402 Ag
0.9942 0.6517 0.3598 Ag
0.0000 0.0000 0.5000 Ag
0.5000 0.0000 0.5000 Ag
0.2810 0.2176 0.2203 Ag
0.7190 0.7824 0.7797 Ag
0.4986 0.7824 0.2203 Ag
0.5014 0.2176 0.7797 Ag
```

Its formation energy is -73 meV/atom. The value obtained for the calculated volume is 267 Å³/cell. As for the density of states at the Fermi level: 4.20 states/eV per cell.

=====

Which value of calculated volume does entry 5 give?
142 Å³/cell

=====

Among the records above, which one has the lowest calculated volume?
SrCd2Ag

=====

Number 1 is which compound?
SrCd2Ag2